LiMn2F6 | the Alexandria database | GGA+U | optimized geometry; symmetry = P4_2/mnm; DFT total energy = -103.78 eV for the cell shown; offset from the most stable computed form = 5 meV/atom
1.0
4.730 0.000 0.000
0.000 4.730 0.000
0.000 0.000 9.680
Li Mn F
2 4 12
Direct
0.000 0.000 0.000 Li
0.500 0.500 0.500 Li
0.000 0.000 0.335 Mn
0.000 0.000 0.665 Mn
0.500 0.500 0.165 Mn
0.500 0.500 0.835 Mn
0.198 0.198 0.500 F
0.204 0.204 0.172 F
0.204 0.204 0.828 F
0.296 0.704 0.328 F
0.296 0.704 0.672 F
0.302 0.698 0.000 F
0.698 0.302 0.000 F
0.704 0.296 0.328 F
0.704 0.296 0.672 F
0.796 0.796 0.172 F
0.796 0.796 0.828 F
0.802 0.802 0.500 F